Record 1
The following is a SCAN calculation of a PBEsol-optimized structure of CaCo2H, from the Alexandria database.

Values from the calculation:
* SG: No. 225
* DOS at the Fermi energy: 2.24 states/eV/f.u.
* energy: -10.561 eV per atom
* magnetization: 2.17 μB/cell

Lattice parameters (Å, degrees): 4.148 4.148 4.148 60.00 60.00 60.00
Atoms (fractional coordinates):
Ca 0.000 0.000 0.000
Co 0.250 0.250 0.250
Co 0.750 0.750 0.750
H 0.500 0.500 0.500

=====

Record 2
The following is a SCAN calculation of a PBEsol-optimized structure of CaCo2HPb, from the Alexandria database.

Values from the calculation:
* SG: No. 123
* DOS at the Fermi energy: 1.95 states/eV/f.u.
* energy: -24.288 eV per atom
* magnetization: 3.15 μB/cell

Lattice parameters (Å, degrees): 4.077 4.077 4.348 90.00 90.00 90.00
Atoms (fractional coordinates):
Ca 0.000 0.000 0.000
Co 0.000 0.500 0.500
Co 0.500 0.000 0.500
H 0.500 0.500 0.500
Pb 0.500 0.500 0.000

=====

Please write out number 1 again, unchanged.
The following is a SCAN calculation of a PBEsol-optimized structure of CaCo2H, from the Alexandria database.

Values from the calculation:
* SG: No. 225
* DOS at the Fermi energy: 2.24 states/eV/f.u.
* energy: -10.561 eV per atom
* magnetization: 2.17 μB/cell

Lattice parameters (Å, degrees): 4.148 4.148 4.148 60.00 60.00 60.00
Atoms (fractional coordinates):
Ca 0.000 0.000 0.000
Co 0.250 0.250 0.250
Co 0.750 0.750 0.750
H 0.500 0.500 0.500